Record 1
# TlCrSb

An optimized crystal structure of TlCrSb (PBE-GGA, the Alexandria database).

Calculated values
* theoretical density: 8.6 Mg/m³

abc: 3.5562 3.5562 6.6415
angles: 90.00 90.00 120.00
With the nearest neighbours (Å) after each atom.
Sites, in units of the cell vectors:
Tl (0.3333, 0.6667, 0.6929)  3 Cr 2.97
Cr (0.0000, 0.0000, 0.0167)  3 Sb 2.74, 3 Tl 2.97
Sb (0.6667, 0.3333, 0.2904)  3 Cr 2.74

=====

Record 2
# TlCrSb2

An optimized crystal structure of TlCrSb2 (PBE-GGA, the Alexandria database).

Calculated values
* theoretical density: 8.2 Mg/m³

abc: 5.5690 5.5690 5.5690
angles: 129.36 129.36 74.43
With the nearest neighbours (Å) after each atom.
Sites, in units of the cell vectors:
Tl (0.2500, 0.7500, 0.5000)  8 Sb 3.25, 4 Cr 3.37
Sb (0.5000, 0.5000, 0.0000)  4 Tl 3.25, 4 Cr 3.25, 4 Sb 3.37
Cr (0.7500, 0.2500, 0.5000)  8 Sb 3.25, 4 Tl 3.37
Sb (0.0000, 0.0000, 0.0000)  4 Cr 3.25, 4 Tl 3.25, 4 Sb 3.37

=====

Record 3
# TlCrSb4

An optimized crystal structure of TlCrSb4 (PBE-GGA, the Alexandria database).

Calculated values
* theoretical density: 7.0 Mg/m³

abc: 6.3013 6.3013 6.3013
angles: 60.00 60.00 60.00
With the nearest neighbours (Å) after each atom.
Sites, in units of the cell vectors:
Sb (0.8760, 0.3747, 0.3747)  6 Sb 3.14-3.16
Sb (0.3747, 0.3747, 0.8760)  6 Sb 3.14-3.16
Sb (0.3747, 0.8760, 0.3747)  6 Sb 3.14-3.16
Tl (0.7500, 0.7500, 0.7500)  12 Sb 3.70, 4 Cr 3.86
Cr (0.0000, 0.0000, 0.0000)  12 Sb 3.69, 4 Tl 3.86
Sb (0.3747, 0.3747, 0.3747)  6 Sb 3.14-3.16

=====

Record 4
# TlCrSb2

An optimized crystal structure of TlCrSb2 (PBE-GGA, the Alexandria database).

Calculated values
* theoretical density: 8.2 Mg/m³

abc: 7.4426 5.4721 3.5146
angles: 89.52 62.62 122.17
With the nearest neighbours (Å) after each atom.
Sites, in units of the cell vectors:
Sb (0.5000, 0.0000, 0.5000)  4 Cr 3.24-3.26, 4 Tl 3.24-3.26, 4 Sb 3.30-3.51
Sb (0.0000, 0.0000, 0.0000)  4 Tl 3.24-3.26, 4 Cr 3.24-3.26, 4 Sb 3.30-3.51
Cr (0.5000, 0.5000, 0.0000)  8 Sb 3.24-3.26, 2 Tl 3.30, 2 Cr 3.51
Tl (0.0000, 0.5000, 0.5000)  8 Sb 3.24-3.26, 2 Cr 3.30, 2 Tl 3.51

=====

Record 5
# TlCr2Sb

An optimized crystal structure of TlCr2Sb (PBE-GGA, the Alexandria database).

Calculated values
* theoretical density: 7.9 Mg/m³

abc: 5.0484 5.0484 5.0484
angles: 60.00 60.00 60.00
With the nearest neighbours (Å) after each atom.
Sites, in units of the cell vectors:
Tl (0.7500, 0.7500, 0.7500)  4 Sb 3.09, 4 Cr 3.09
Cr (0.2500, 0.2500, 0.2500)  4 Cr 3.09, 4 Sb 3.09
Cr (0.0000, 0.0000, 0.0000)  4 Tl 3.09, 4 Cr 3.09
Sb (0.5000, 0.5000, 0.5000)  4 Cr 3.09, 4 Tl 3.09

=====

Record 6
# Tl2CrSb2

An optimized crystal structure of Tl2CrSb2 (PBE-GGA, the Alexandria database).

Calculated values
* theoretical density: 8.0 Mg/m³

abc: 7.0137 7.0137 5.9463
angles: 90.00 90.00 90.00
With the nearest neighbours (Å) after each atom.
Sites, in units of the cell vectors:
Tl (0.6765, 0.8235, 0.5000)  6 Sb 3.47-3.73, 5 Tl 3.50-3.66
Cr (0.0000, 0.0000, 0.0000)  4 Sb 2.69
Sb (0.8562, 0.6438, 0.0000)  2 Cr 2.69, 1 Sb 2.85
Sb (0.3562, 0.8562, 0.0000)  2 Cr 2.69, 1 Sb 2.85
Tl (0.3235, 0.1765, 0.5000)  6 Sb 3.47-3.73, 5 Tl 3.50-3.66
Tl (0.8235, 0.3235, 0.5000)  6 Sb 3.47-3.73, 5 Tl 3.50-3.66
Sb (0.1438, 0.3562, 0.0000)  2 Cr 2.69, 1 Sb 2.85
Tl (0.1765, 0.6765, 0.5000)  6 Sb 3.47-3.73, 5 Tl 3.50-3.66
Sb (0.6438, 0.1438, 0.0000)  2 Cr 2.69, 1 Sb 2.85
Cr (0.5000, 0.5000, 0.0000)  4 Sb 2.69

=====

How do the records compare in formation energy without anion corrections? In the order shown, they have 0.438, 0.381, 0.447, 0.380, 0.815, 0.146 eV per atom.
How do the records compare in magnetization? In the order shown, they have 3.511, 3.870, 5.028, 4.046, 8.476, 3.685 μB per formula unit.
How do the records compare in V? In the order shown, they have 73, 101, 177, 101, 91, 293 Å³ per cell.